! YTa2SO | Alexandria via LeMat-Bulk | PBE-GGA | relaxed; values from VASP
&SYSTEM
  ibrav = 0, nat = 5, ntyp = 4
/
ATOMIC_SPECIES
Y 88.91 Y.upf
Ta 180.95 Ta.upf
S 32.06 S.upf
O 16.00 O.upf
ATOMIC_POSITIONS crystal
Y 0.0000 0.0000 0.0000
Ta 0.0000 0.5000 0.0000
Ta 0.5000 0.0000 0.0000
S 0.5000 0.5000 0.5000
O 0.0000 0.0000 0.5000
CELL_PARAMETERS angstrom
5.3867 0.0000 0.0000
0.0000 5.3867 0.0000
0.0000 0.0000 4.0979
! SG: P4/mmm (123)
! Theoretical density (g/cm³): 6.97
! E_form (uncorrected) (eV per atom): 1.408
! M_tot (μB per atom): 0.74
! Fermi-level density of states (states/eV/atom): 1.463



! Tb4S5O | Alexandria via LeMat-Bulk | PBE-GGA | relaxed; values from VASP
&SYSTEM
  ibrav = 0, nat = 10, ntyp = 3
/
ATOMIC_SPECIES
Tb 158.93 Tb.upf
S 32.06 S.upf
O 16.00 O.upf
ATOMIC_POSITIONS crystal
Tb 0.2184 0.2184 0.0000
Tb 0.2267 0.5000 0.7267
Tb 0.7733 0.5000 0.2733
Tb 0.7816 0.7816 0.0000
S 0.0809 0.3389 0.7421
S 0.4032 0.6611 0.7421
S 0.5000 0.0000 0.5000
S 0.5968 0.3389 0.2579
S 0.9191 0.6611 0.2579
O 0.0000 0.0000 0.0000
CELL_PARAMETERS angstrom
-1.8707 3.6065 8.4887
1.8707 -3.6065 8.4887
1.8707 3.6065 -8.4887
! SG: Immm (71)
! Theoretical density (g/cm³): 5.89
! E_form (uncorrected) (eV per atom): -2.167
! M_tot (μB per atom): 0.00



! Tb4SO5 | Alexandria via LeMat-Bulk | PBE-GGA | relaxed; values from VASP
&SYSTEM
  ibrav = 0, nat = 20, ntyp = 3
/
ATOMIC_SPECIES
Tb 158.93 Tb.upf
S 32.06 S.upf
O 16.00 O.upf
ATOMIC_POSITIONS crystal
Tb 0.0081 0.2500 0.0150
Tb 0.2500 0.0236 0.5283
Tb 0.2500 0.4764 0.5283
Tb 0.4919 0.2500 0.0150
Tb 0.5081 0.7500 0.9850
Tb 0.7500 0.5236 0.4717
Tb 0.7500 0.9764 0.4717
Tb 0.9919 0.7500 0.9850
S 0.2500 0.7500 0.3088
S 0.7500 0.2500 0.6912
O 0.0048 0.0687 0.2672
O 0.0048 0.4313 0.2672
O 0.2500 0.2500 0.7680
O 0.4952 0.0687 0.2672
O 0.4952 0.4313 0.2672
O 0.5048 0.5687 0.7328
O 0.5048 0.9313 0.7328
O 0.7500 0.7500 0.2320
O 0.9952 0.5687 0.7328
O 0.9952 0.9313 0.7328
CELL_PARAMETERS angstrom
7.1834 0.0000 0.0000
0.0000 8.8809 0.0000
0.0000 0.0000 5.6132
! SG: Pmmn (59)
! Theoretical density (g/cm³): 6.94
! E_form (uncorrected) (eV per atom): -3.082
! M_tot (μB per atom): 0.00
! Fermi-level density of states (states/eV/atom): 0.000



! TbSO4 | Alexandria via LeMat-Bulk | PBE-GGA | relaxed; values from VASP
&SYSTEM
  ibrav = 0, nat = 6, ntyp = 3
/
ATOMIC_SPECIES
Tb 158.93 Tb.upf
S 32.06 S.upf
O 16.00 O.upf
ATOMIC_POSITIONS crystal
Tb 0.0000 0.0000 0.0000
S 0.2500 0.7500 0.5000
O 0.0507 0.3748 0.3241
O 0.0507 0.7266 0.6759
O 0.2734 0.9493 0.3241
O 0.6252 0.9493 0.6759
CELL_PARAMETERS angstrom
-3.4567 3.4567 2.1319
3.4567 -3.4567 2.1319
3.4567 3.4567 -2.1319
! SG: I-4m2 (119)
! Theoretical density (g/cm³): 4.16
! E_form (uncorrected) (eV per atom): -1.890
! M_tot (μB per atom): 0.01
! Fermi-level density of states (states/eV/atom): 0.158



! Tb3S3O | Alexandria via LeMat-Bulk | PBE-GGA | relaxed; values from VASP
&SYSTEM
  ibrav = 0, nat = 7, ntyp = 3
/
ATOMIC_SPECIES
Tb 158.93 Tb.upf
S 32.06 S.upf
O 16.00 O.upf
ATOMIC_POSITIONS crystal
Tb 0.1998 0.9001 0.9001
Tb 0.9001 0.1998 0.9001
Tb 0.9001 0.9001 0.1998
S 0.3424 0.3424 0.9260
S 0.3424 0.9260 0.3424
S 0.9260 0.3424 0.3424
O 0.8602 0.8602 0.8602
CELL_PARAMETERS angstrom
6.0816 3.5112 1.3057
-6.0816 3.5112 1.3057
0.0000 -7.0224 1.3057
! SG: R3m (160)
! Theoretical density (g/cm³): 5.85
! E_form (uncorrected) (eV per atom): -2.183
! M_tot (μB per atom): 0.00
! Fermi-level density of states (states/eV/atom): 0.396



! TbSO4 | Alexandria via LeMat-Bulk | PBE-GGA | relaxed; values from VASP
&SYSTEM
  ibrav = 0, nat = 12, ntyp = 3
/
ATOMIC_SPECIES
Tb 158.93 Tb.upf
S 32.06 S.upf
O 16.00 O.upf
ATOMIC_POSITIONS crystal
Tb 0.3750 0.6250 0.7500
Tb 0.6250 0.3750 0.2500
S 0.1250 0.8750 0.2500
S 0.8750 0.1250 0.7500
O 0.1245 0.7015 0.4230
O 0.2214 0.2985 0.9230
O 0.2985 0.2214 0.4230
O 0.2985 0.8755 0.0770
O 0.7015 0.1245 0.9230
O 0.7015 0.7786 0.5770
O 0.7786 0.7015 0.0770
O 0.8755 0.2985 0.5770
CELL_PARAMETERS angstrom
-3.5838 3.5838 3.1264
3.5838 -3.5838 3.1264
3.5838 3.5838 -3.1264
! SG: I4_1/amd (141)
! Theoretical density (g/cm³): 5.27
! E_form (uncorrected) (eV per atom): -1.888
! M_tot (μB per atom): 0.00
! Fermi-level density of states (states/eV/atom): 0.139



! TbTmS2O | Alexandria via LeMat-Bulk | PBE-GGA | relaxed; values from VASP
&SYSTEM
  ibrav = 0, nat = 10, ntyp = 4
/
ATOMIC_SPECIES
Tb 158.93 Tb.upf
Tm 168.93 Tm.upf
S 32.06 S.upf
O 16.00 O.upf
ATOMIC_POSITIONS crystal
Tb 0.2500 0.2500 0.0844
Tb 0.7500 0.7500 0.9156
Tm 0.2500 0.2500 0.6234
Tm 0.7500 0.7500 0.3766
S 0.2500 0.2500 0.4105
S 0.2500 0.2500 0.8026
S 0.7500 0.7500 0.1974
S 0.7500 0.7500 0.5895
O 0.2500 0.7500 0.0000
O 0.7500 0.2500 0.0000
CELL_PARAMETERS angstrom
3.8468 0.0000 0.0000
0.0000 3.8468 0.0000
0.0000 0.0000 13.7758
! SG: P4/nmm (129)
! Theoretical density (g/cm³): 6.65
! E_form (uncorrected) (eV per atom): -2.537
! M_tot (μB per atom): 0.00
! Fermi-level density of states (states/eV/atom): 0.168



! TbUS2O | Alexandria via LeMat-Bulk | PBE-GGA | relaxed; values from VASP
&SYSTEM
  ibrav = 0, nat = 10, ntyp = 4
/
ATOMIC_SPECIES
Tb 158.93 Tb.upf
U 238.03 U.upf
S 32.06 S.upf
O 16.00 O.upf
ATOMIC_POSITIONS crystal
Tb 0.2500 0.2500 0.1073
Tb 0.7500 0.7500 0.8927
U 0.2500 0.2500 0.5979
U 0.7500 0.7500 0.4021
S 0.2500 0.2500 0.3097
S 0.2500 0.2500 0.8952
S 0.7500 0.7500 0.1048
S 0.7500 0.7500 0.6903
O 0.2500 0.7500 0.5000
O 0.7500 0.2500 0.5000
CELL_PARAMETERS angstrom
3.8428 0.0000 0.0000
0.0000 3.8428 0.0000
0.0000 0.0000 13.4951
! SG: P4/nmm (129)
! Theoretical density (g/cm³): 7.95
! E_form (uncorrected) (eV per atom): -2.256
! M_tot (μB per atom): 0.49
! Fermi-level density of states (states/eV/atom): 1.613